# 1
An optimized crystal structure of Dy3IO7. Source: Alexandria via LeMat-Bulk, functional GGA-PBE.

```
22
Lattice="3.8616 -5.3483 0.0000 3.8616 5.3483 0.0000 0.0000 0.0000 7.5817" Properties=species:S:1:pos:R:3 pbc="T T T"
Dy 2.0552 2.5257 1.9434
Dy 0.2791 0.0000 0.0000
Dy 5.6680 2.5257 1.8474
Dy 2.0552 -2.5257 5.6383
Dy 7.4441 0.0000 3.7909
Dy 5.6680 -2.5257 5.7343
I 3.8320 0.0000 3.7909
I 3.8912 0.0000 0.0000
O 3.8616 3.9318 5.6863
O 3.8616 3.8666 1.8954
O 2.1633 1.3831 7.4330
O 2.3990 1.3177 4.1026
O 2.1633 -1.3831 0.1487
O 3.8616 0.9166 1.8954
O 2.3990 -1.3177 3.4791
O 5.3242 1.3177 7.2699
O 3.8616 -0.9166 5.6863
O 5.5600 1.3831 3.9396
O 5.3242 -1.3177 0.3118
O 5.5600 -1.3831 3.6421
O 3.8616 -3.8666 5.6863
O 3.8616 -3.9318 1.8954
```

Values from the calculation:
Fermi-level density of states (states/eV per atom): 0.000
VASP energy (eV per atom): -7.08
Space group: C222_1
Formation energy (no corrections) (eV/atom): -2.5258

# 2
An optimized crystal structure of EuHoTlIn. Source: Alexandria via LeMat-Bulk, functional GGA-PBE.

```
4
Lattice="0.0000 3.8603 3.8603 3.8603 0.0000 3.8603 3.8603 3.8603 0.0000" Properties=species:S:1:pos:R:3 pbc="T T T"
Eu 0.0000 0.0000 0.0000
Ho 3.8603 3.8603 3.8603
Tl 5.7904 5.7904 5.7904
In 1.9301 1.9301 1.9301
```

Values from the calculation:
Fermi-level density of states (states/eV per atom): 2.106
VASP energy (eV per atom): -5.38
Space group: F-43m

# 3
An optimized crystal structure of NaTlS2. Source: Alexandria via LeMat-Bulk, functional GGA-PBE.

```
16
Lattice="7.3374 0.0000 0.0000 0.0000 9.1038 0.0000 0.0000 0.0000 6.9747" Properties=species:S:1:pos:R:3 pbc="T T T"
Na 0.6253 1.0972 0.0000
Na 3.0434 5.6491 3.4873
Na 4.2940 3.4547 0.0000
Na 6.7120 8.0066 3.4873
Tl 0.5173 5.7023 6.9277
Tl 3.1514 1.1504 3.4404
Tl 4.1860 7.9535 6.9277
Tl 6.8201 3.4016 3.4404
S 0.4220 5.5947 4.3548
S 0.6852 1.2635 4.1904
S 2.9835 5.8154 0.7030
S 3.2467 1.0428 0.8675
S 4.0907 8.0611 4.3548
S 4.3539 3.2884 4.1904
S 6.6521 7.8403 0.7030
S 6.9154 3.5091 0.8675
```

Values from the calculation:
Fermi-level density of states (states/eV per atom): 0.000
VASP energy (eV per atom): -3.54
Space group: Pna2_1
Formation energy (no corrections) (eV/atom): -0.5567